# 1
# HfAlCuOs (PBE-GGA, optimized geometry)
# Calculated volume ... 246.6 Å³/cell
# Energy above the lowest structure with this stoichiometry ... 0.00 eV per formula unit
data_HfAlCuOs
_space_group_name_H-M_alt 'F -4 3 m'
_space_group_IT_number 216
_space_group_name_Hall 'F -4 2 3'
_cell_length_a 6.2710
_cell_length_b 6.2710
_cell_length_c 6.2710
_cell_angle_alpha 90.00
_cell_angle_beta 90.00
_cell_angle_gamma 90.00
loop_
_atom_site_label
_atom_site_type_symbol
_atom_site_fract_x
_atom_site_fract_y
_atom_site_fract_z
Hf1 Hf 0.0000 0.0000 0.0000
Al1 Al 0.0000 0.0000 0.5000
Cu1 Cu 0.2500 0.2500 0.7500
Os1 Os 0.2500 0.2500 0.2500

---

# 2
# Hf3Al3CuPd2 (PBE-GGA, optimized geometry)
# Calculated volume ... 154.1 Å³/cell
data_Hf3Al3CuPd2
_space_group_name_H-M_alt 'P -6 2 m'
_space_group_IT_number 189
_space_group_name_Hall 'P -6 -2'
_cell_length_a 7.0641
_cell_length_b 7.0641
_cell_length_c 3.5661
_cell_angle_alpha 90.00
_cell_angle_beta 90.00
_cell_angle_gamma 120.00
loop_
_atom_site_label
_atom_site_type_symbol
_atom_site_fract_x
_atom_site_fract_y
_atom_site_fract_z
Hf1 Hf 0.0000 0.6014 0.0000
Al1 Al 0.0000 0.2499 0.5000
Cu1 Cu 0.0000 0.0000 0.0000
Pd1 Pd 0.3333 0.6667 0.5000

---

# 3
# Hf3Al3Cu2Pd (PBE-GGA, optimized geometry)
# Calculated volume ... 149.7 Å³/cell
data_Hf3Al3Cu2Pd
_space_group_name_H-M_alt 'P -6 2 m'
_space_group_IT_number 189
_space_group_name_Hall 'P -6 -2'
_cell_length_a 6.5371
_cell_length_b 6.5371
_cell_length_c 4.0458
_cell_angle_alpha 90.00
_cell_angle_beta 90.00
_cell_angle_gamma 120.00
loop_
_atom_site_label
_atom_site_type_symbol
_atom_site_fract_x
_atom_site_fract_y
_atom_site_fract_z
Hf1 Hf 0.0000 0.5757 0.0000
Al1 Al 0.0000 0.2504 0.5000
Cu1 Cu 0.3333 0.6667 0.5000
Pd1 Pd 0.0000 0.0000 0.0000

---

# 4
# HfZr2Al3Cu2Pd (PBE-GGA, optimized geometry)
# Calculated volume ... 305.9 Å³/cell
data_HfZr2Al3Cu2Pd
_space_group_name_H-M_alt 'A m m 2'
_space_group_IT_number 38
_cell_length_a 4.0510
_cell_length_b 11.3880
_cell_length_c 6.6309
_cell_angle_alpha 90.00
_cell_angle_beta 90.00
_cell_angle_gamma 90.00
loop_
_space_group_symop_operation_xyz
'x,y,z'
'-x,-y,z'
'-x,y,z'
'x,-y,z'
'x,y+1/2,z+1/2'
'-x,-y+1/2,z+1/2'
'-x,y+1/2,z+1/2'
'x,-y+1/2,z+1/2'
loop_
_atom_site_label
_atom_site_type_symbol
_atom_site_fract_x
_atom_site_fract_y
_atom_site_fract_z
Hf1 Hf 0.0000 0.0000 0.0000
Zr1 Zr 0.0000 0.2110 0.3672
Al1 Al 0.5000 0.0000 0.3283
Al2 Al 0.5000 0.1266 0.7031
Cu1 Cu 0.5000 0.1643 0.0767
Pd1 Pd 0.0000 0.0000 0.5845

---

# 5
# HfScAl4Cu2 (PBE-GGA, optimized geometry)
# Calculated volume ... 260.2 Å³/cell
data_HfScAl4Cu2
_space_group_name_H-M_alt 'A m m 2'
_space_group_IT_number 38
_cell_length_a 6.6147
_cell_length_b 4.0566
_cell_length_c 9.6952
_cell_angle_alpha 90.00
_cell_angle_beta 90.00
_cell_angle_gamma 90.00
loop_
_space_group_symop_operation_xyz
'x,y,z'
'-x,-y,z'
'-x,y,z'
'x,-y,z'
'x,y+1/2,z+1/2'
'-x,-y+1/2,z+1/2'
'-x,y+1/2,z+1/2'
'x,-y+1/2,z+1/2'
loop_
_atom_site_label
_atom_site_type_symbol
_atom_site_fract_x
_atom_site_fract_y
_atom_site_fract_z
Hf1 Hf 0.0000 0.0000 0.0000
Sc1 Sc 0.5000 0.0000 0.8536
Al1 Al 0.1968 0.0000 0.2930
Al2 Al 0.2998 0.0000 0.5586
Cu1 Cu 0.0000 0.0000 0.7139
Cu2 Cu 0.5000 0.0000 0.1391

---

# 6
# HfTaAlCu (PBE-GGA, optimized geometry)
# Calculated volume ... 272.4 Å³/cell
# Energy above the lowest structure with this stoichiometry ... 0.00 eV per formula unit
data_HfTaAlCu
_space_group_name_H-M_alt 'F -4 3 m'
_space_group_IT_number 216
_space_group_name_Hall 'F -4 2 3'
_cell_length_a 6.4827
_cell_length_b 6.4827
_cell_length_c 6.4827
_cell_angle_alpha 90.00
_cell_angle_beta 90.00
_cell_angle_gamma 90.00
loop_
_atom_site_label
_atom_site_type_symbol
_atom_site_fract_x
_atom_site_fract_y
_atom_site_fract_z
Hf1 Hf 0.0000 0.0000 0.0000
Ta1 Ta 0.2500 0.2500 0.2500
Al1 Al 0.0000 0.0000 0.5000
Cu1 Cu 0.2500 0.2500 0.7500

---

# 7
# TbHfAl2Cu4 (PBE-GGA, optimized geometry)
# Calculated volume ... 129.1 Å³/cell
data_TbHfAl2Cu4
_space_group_name_H-M_alt 'P -6 m 2'
_space_group_IT_number 187
_space_group_name_Hall 'P -6 2'
_cell_length_a 4.2681
_cell_length_b 4.2681
_cell_length_c 8.1813
_cell_angle_alpha 90.00
_cell_angle_beta 90.00
_cell_angle_gamma 120.00
loop_
_atom_site_label
_atom_site_type_symbol
_atom_site_fract_x
_atom_site_fract_y
_atom_site_fract_z
Tb1 Tb 0.0000 0.0000 0.0000
Hf1 Hf 0.6667 0.3333 0.5000
Al1 Al 0.3333 0.6667 0.2796
Cu1 Cu 0.0000 0.0000 0.3440
Cu2 Cu 0.6667 0.3333 0.1745

---

# 8
# HfAlCuW (PBE-GGA, optimized geometry)
# Calculated volume ... 259.6 Å³/cell
# Energy above the lowest structure with this stoichiometry ... 0.00 eV per formula unit
data_HfAlCuW
_space_group_name_H-M_alt 'F -4 3 m'
_space_group_IT_number 216
_space_group_name_Hall 'F -4 2 3'
_cell_length_a 6.3790
_cell_length_b 6.3790
_cell_length_c 6.3790
_cell_angle_alpha 90.00
_cell_angle_beta 90.00
_cell_angle_gamma 90.00
loop_
_atom_site_label
_atom_site_type_symbol
_atom_site_fract_x
_atom_site_fract_y
_atom_site_fract_z
Hf1 Hf 0.0000 0.0000 0.0000
Al1 Al 0.0000 0.0000 0.5000
Cu1 Cu 0.2500 0.2500 0.7500
W1 W 0.2500 0.2500 0.2500

---

# 9
# HfZr2Al3Cu3 (PBE-GGA, optimized geometry)
# Calculated volume ... 296.8 Å³/cell
data_HfZr2Al3Cu3
_space_group_name_H-M_alt 'A m m 2'
_space_group_IT_number 38
_cell_length_a 3.9710
_cell_length_b 11.3164
_cell_length_c 6.6052
_cell_angle_alpha 90.00
_cell_angle_beta 90.00
_cell_angle_gamma 90.00
loop_
_space_group_symop_operation_xyz
'x,y,z'
'-x,-y,z'
'-x,y,z'
'x,-y,z'
'x,y+1/2,z+1/2'
'-x,-y+1/2,z+1/2'
'-x,y+1/2,z+1/2'
'x,-y+1/2,z+1/2'
loop_
_atom_site_label
_atom_site_type_symbol
_atom_site_fract_x
_atom_site_fract_y
_atom_site_fract_z
Hf1 Hf 0.0000 0.0000 0.0000
Zr1 Zr 0.0000 0.2082 0.3741
Al1 Al 0.5000 0.0000 0.3377
Al2 Al 0.5000 0.1242 0.7056
Cu1 Cu 0.0000 0.0000 0.5886
Cu2 Cu 0.5000 0.1641 0.0814

---

# 10
# HfZrAl2Cu4 (PBE-GGA, optimized geometry)
# Calculated volume ... 122.0 Å³/cell
data_HfZrAl2Cu4
_space_group_name_H-M_alt 'P -6 m 2'
_space_group_IT_number 187
_space_group_name_Hall 'P -6 2'
_cell_length_a 4.2030
_cell_length_b 4.2030
_cell_length_c 7.9763
_cell_angle_alpha 90.00
_cell_angle_beta 90.00
_cell_angle_gamma 120.00
loop_
_atom_site_label
_atom_site_type_symbol
_atom_site_fract_x
_atom_site_fract_y
_atom_site_fract_z
Hf1 Hf 0.0000 0.0000 0.0000
Zr1 Zr 0.3333 0.6667 0.5000
Al1 Al 0.6667 0.3333 0.2501
Cu1 Cu 0.0000 0.0000 0.3377
Cu2 Cu 0.3333 0.6667 0.1587

---

# 11
# Al2CuHg (PBE-GGA, optimized geometry)
# Calculated volume ... 278.6 Å³/cell
data_Al2CuHg
_space_group_name_H-M_alt 'F -4 3 m'
_space_group_IT_number 216
_space_group_name_Hall 'F -4 2 3'
_cell_length_a 6.5309
_cell_length_b 6.5309
_cell_length_c 6.5309
_cell_angle_alpha 90.00
_cell_angle_beta 90.00
_cell_angle_gamma 90.00
loop_
_atom_site_label
_atom_site_type_symbol
_atom_site_fract_x
_atom_site_fract_y
_atom_site_fract_z
Al1 Al 0.0000 0.0000 0.0000
Al2 Al 0.2500 0.2500 0.2500
Cu1 Cu 0.2500 0.2500 0.7500
Hg1 Hg 0.0000 0.0000 0.5000

---

# 12
# AlCu2Hg (PBE-GGA, optimized geometry)
# Calculated volume ... 241.0 Å³/cell
data_AlCu2Hg
_space_group_name_H-M_alt 'F -4 3 m'
_space_group_IT_number 216
_space_group_name_Hall 'F -4 2 3'
_cell_length_a 6.2230
_cell_length_b 6.2230
_cell_length_c 6.2230
_cell_angle_alpha 90.00
_cell_angle_beta 90.00
_cell_angle_gamma 90.00
loop_
_atom_site_label
_atom_site_type_symbol
_atom_site_fract_x
_atom_site_fract_y
_atom_site_fract_z
Al1 Al 0.0000 0.0000 0.0000
Cu1 Cu 0.0000 0.0000 0.5000
Cu2 Cu 0.2500 0.2500 0.7500
Hg1 Hg 0.2500 0.2500 0.2500

---

Summary of electronic total energy in eV per atom
-7.557, -6.741, -6.501, -6.208, -5.221, -7.085, -4.967, -7.435, -5.904, -5.444, -2.628, -2.751
(order as listed above)